First-principles (PBE) data for an optimized crystal structure of NaGaPdPb, as listed in OQMD via LeMat-Bulk.

The value obtained for the polymorph energy (0 for the lowest one) is 6.6 kJ/mol of atoms.

It has space group F-43m (No. 216), with a = 6.974 Å, b = 6.974 Å, c = 6.974 Å, α = 90.00°, β = 90.00° and γ = 90.00°. Symmetry generates all atoms from Na at (0.000, 0.000, 0.000), Ga at (0.250, 0.250, 0.250), Pd at (0.250, 0.250, 0.750) and Pb at (0.000, 0.000, 0.500).

=====

First-principles (PBE) data for an optimized crystal structure of DyHo2InGa2Hg3, as listed in OQMD via LeMat-Bulk.

The total energy comes out at -3.07 eV per atom. The value obtained for the total magnetic moment is 0.00 μB per atom.

It has space group Amm2 (No. 38), with a = 4.445 Å, b = 12.749 Å, c = 7.354 Å, α = 90.00°, β = 90.00° and γ = 90.00°. Symmetry generates all atoms from Dy at (0.000, 0.000, 0.000), Ho at (0.000, 0.217, 0.350), In at (0.000, 0.000, 0.566), Ga at (0.500, 0.167, 0.067), Hg at (0.500, 0.000, 0.302) and Hg at (0.500, 0.132, 0.699).

=====

First-principles (PBE) data for an optimized crystal structure of GdMgZn, as listed in OQMD via LeMat-Bulk.

The total energy comes out at -2.60 eV per atom. The value obtained for the total magnetic moment is 0.00 μB per atom.

It has space group P1 (No. 1), with a = 6.365 Å, b = 6.368 Å, c = 7.598 Å, α = 80.75°, β = 81.44° and γ = 65.68°. Symmetry generates all atoms from Gd at (0.000, 0.000, 0.000), Gd at (0.003, 0.487, 0.069), Gd at (0.198, 0.659, 0.412), Gd at (0.677, 0.168, 0.384), Mg at (0.397, 0.867, 0.680), Mg at (0.499, 0.980, 0.052), Mg at (0.509, 0.495, 0.008), Mg at (0.877, 0.383, 0.659), Zn at (0.202, 0.140, 0.368), Zn at (0.381, 0.310, 0.741), Zn at (0.674, 0.702, 0.368) and Zn at (0.838, 0.840, 0.728).

=====

First-principles (PBE) data for an optimized crystal structure of Nb2ZnCd, as listed in OQMD via LeMat-Bulk.

As for the formation energy: 1.69 eV/f.u. The value obtained for the total magnetic moment is 0.14 μB per atom.

It has space group F-43m (No. 216), with a = 6.633 Å, b = 6.633 Å, c = 6.633 Å, α = 90.00°, β = 90.00° and γ = 90.00°. Symmetry generates all atoms from Nb at (0.000, 0.000, 0.000), Nb at (0.250, 0.250, 0.250), Zn at (0.000, 0.000, 0.500) and Cd at (0.250, 0.250, 0.750).

=====

First-principles (PBE) data for an optimized crystal structure of KNbF3, as listed in OQMD via LeMat-Bulk.

The value obtained for the polymorph energy (0 for the lowest one) is 0.0 kJ/mol of atoms. The value obtained for the total magnetic moment is 0.60 μB per atom.

It has space group R-3c (No. 167, hexagonal axes), with a = 6.2577 Å, b = 6.2577 Å, c = 13.4248 Å, α = 90.00°, β = 90.00° and γ = 120.00°. Symmetry generates all atoms from K at (0.0000, 0.0000, 0.2500), Nb at (0.0000, 0.0000, 0.0000) and F at (0.0000, 0.4083, 0.2500).

=====

First-principles (PBE) data for an optimized crystal structure of NbTeNO, as listed in OQMD via LeMat-Bulk.

The value obtained for the polymorph energy (0 for the lowest one) is 8.5 kJ/mol of atoms. The value obtained for the total magnetic moment is 0.00 μB per atom.

It has space group Pmc2_1 (No. 26), with a = 3.314 Å, b = 6.568 Å, c = 6.798 Å, α = 90.00°, β = 90.00° and γ = 90.00°. Symmetry generates all atoms from Nb at (0.000, 0.108, 0.000), Te at (0.500, 0.261, 0.487), N at (0.000, 0.120, 0.712) and O at (0.500, 0.255, 0.063).

=====

> What is the formula in the third record?

GdMgZn

=====

Copy entry 6 word for word.
First-principles (PBE) data for an optimized crystal structure of NbTeNO, as listed in OQMD via LeMat-Bulk.

The value obtained for the polymorph energy (0 for the lowest one) is 8.5 kJ/mol of atoms. The value obtained for the total magnetic moment is 0.00 μB per atom.

It has space group Pmc2_1 (No. 26), with a = 3.314 Å, b = 6.568 Å, c = 6.798 Å, α = 90.00°, β = 90.00° and γ = 90.00°. Symmetry generates all atoms from Nb at (0.000, 0.108, 0.000), Te at (0.500, 0.261, 0.487), N at (0.000, 0.120, 0.712) and O at (0.500, 0.255, 0.063).